An optimized crystal structure of TlAgGe2, computed with PBE-GGA.

Results
- symmetry = F-43m
- DFT total energy (eV per atom) = -3.31

Cell lengths 4.9868, 4.9868, 4.9868 Å; angles 60.00, 60.00, 60.00 degrees
Atoms (fractional coordinates):
Ge1 0.2500 0.2500 0.2500
Ge2 0.5000 0.5000 0.5000
Tl1 0.0000 0.0000 0.0000
Ag1 0.7500 0.7500 0.7500

---

An optimized crystal structure of YTm2Ag4Ge4, computed with PBE-GGA.

Results
- symmetry = Immm
- M_tot (Bohr magnetons per cell) = 0.00
- DFT total energy (eV per atom) = -4.62

Cell lengths 8.3447, 8.3447, 8.3447 Å; angles 150.11, 129.37, 59.91 degrees
Atoms (fractional coordinates):
Ag1 0.3683 0.6695 0.6988
Ag2 0.6317 0.3305 0.3012
Ag3 0.9707 0.6695 0.3012
Ag4 0.0293 0.3305 0.6988
Ge1 0.2175 0.2175 0.0000
Ge2 0.7825 0.7825 0.0000
Ge3 0.3174 0.5000 0.8174
Ge4 0.6826 0.5000 0.1826
Tm1 0.3746 0.8746 0.5000
Tm2 0.6254 0.1254 0.5000
Y1 0.0000 0.0000 0.0000

---

An optimized crystal structure of UAgGe, computed with PBE-GGA.

Results
- symmetry = F-43m
- M_tot (Bohr magnetons per cell) = 2.26
- DFT total energy (eV per atom) = -5.66

Cell lengths 4.7886, 4.7886, 4.7886 Å; angles 60.00, 60.00, 60.00 degrees
Last column: magnetic moment on the atom in μB.
Atoms (fractional coordinates):
Ag1 0.0000 0.0000 0.0000  0.01
U1 0.2500 0.2500 0.2500  2.13
Ge1 0.5000 0.5000 0.5000  -0.02

---

An optimized crystal structure of UAgGe, computed with PBE-GGA.

Results
- symmetry = F-43m
- M_tot (Bohr magnetons per cell) = 3.00
- DFT total energy (eV per atom) = -5.99

Cell lengths 4.7006, 4.7006, 4.7006 Å; angles 60.00, 60.00, 60.00 degrees
Atoms (fractional coordinates):
U1 0.7500 0.7500 0.7500
Ge1 0.0000 0.0000 0.0000
Ag1 0.2500 0.2500 0.2500

---

An optimized crystal structure of AgGeW, computed with PBE-GGA.

Results
- symmetry = F-43m
- M_tot (Bohr magnetons per cell) = 1.61
- DFT total energy (eV per atom) = -5.85

Cell lengths 4.3794, 4.3794, 4.3794 Å; angles 60.00, 60.00, 60.00 degrees
Atoms (fractional coordinates):
Ag1 0.2500 0.2500 0.2500
W1 0.0000 0.0000 0.0000
Ge1 0.7500 0.7500 0.7500

---

An optimized crystal structure of Ag2GeW, computed with PBE-GGA.

Results
- symmetry = F-43m
- M_tot (Bohr magnetons per cell) = 0.96
- DFT total energy (eV per atom) = -5.15

Cell lengths 4.5642, 4.5642, 4.5642 Å; angles 60.00, 60.00, 60.00 degrees
Last column: magnetic moment on the atom in μB.
Atoms (fractional coordinates):
Ag1 0.0000 0.0000 0.0000  0.03
Ag2 0.7500 0.7500 0.7500  0.02
W1 0.2500 0.2500 0.2500  0.72
Ge1 0.5000 0.5000 0.5000  -0.01

---

An optimized crystal structure of AgGe5W3, computed with PBE-GGA.

Results
- symmetry = P6/mmm
- M_tot (Bohr magnetons per cell) = 0.01
- DFT total energy (eV per atom) = -6.83

Cell lengths 5.3948, 5.3948, 6.7876 Å; angles 90.00, 90.00, 120.00 degrees
Atoms (fractional coordinates):
W1 0.0000 0.5000 0.5000
W2 0.5000 0.5000 0.5000
W3 0.5000 0.0000 0.5000
Ge1 0.6667 0.3333 0.1832
Ge2 0.3333 0.6667 0.1832
Ge3 0.6667 0.3333 0.8168
Ge4 0.3333 0.6667 0.8168
Ge5 0.0000 0.0000 0.5000
Ag1 0.0000 0.0000 0.0000

---

An optimized crystal structure of AgGeW2, computed with PBE-GGA.

Results
- symmetry = F-43m
- M_tot (Bohr magnetons per cell) = 0.00
- DFT total energy (eV per atom) = -7.64

Cell lengths 4.5258, 4.5258, 4.5258 Å; angles 60.00, 60.00, 60.00 degrees
Atoms (fractional coordinates):
W1 0.7500 0.7500 0.7500
W2 0.0000 0.0000 0.0000
Ge1 0.5000 0.5000 0.5000
Ag1 0.2500 0.2500 0.2500

---

The lowest DFT total energy belongs to which entry? AgGeW2

---

What is the DFT total energy in the eighth record? -7.64 eV per atom